This record from Alexandria via LeMat-Bulk describes a relaxed structure of Tb3TmTl. The functional is PBE-GGA.

The structure in POSCAR format:
```
Tb3TmTl
1.0
5.332 -0.001 0.000
0.001 6.879 -0.001
0.000 0.001 8.501
Tb Tm Tl
6 2 2
Cartesian
2.004 2.651 1.707
4.670 3.065 4.311
2.004 6.240 3.352
4.670 3.064 7.603
2.004 6.240 0.060
4.671 6.655 5.956
4.670 0.777 1.707
2.003 1.649 5.957
2.004 4.584 5.957
4.670 4.720 1.707
```

Computed properties:
Volume = 31.2 A^3/atom
ΔE to the lowest computed polymorph = 0.065 eV per atom
Mass density = 9054 kg/m³
Space group = Pmmn
E_form = -0.06 eV per atom